[1]
Material: Pr3SnGe2
Method: DFT, GGA-PBE
State: optimized geometry

## Properties
**Total magnetic moment**: 0.0 μB per formula unit
**E_tot**: -0.389 Ry per atom
**Formation energy from the elements**: -703 meV/atom
**SG**: R-3c (167)

Geometry as POSCAR:
```
Pr3SnGe2
1.0
-3.001 3.034 6.691
-4.289 -4.751 4.692
3.148 -2.296 6.914
Pr Ge Sn
6 4 2
Direct
0.560 0.940 0.250
0.250 0.560 0.940
0.750 0.440 0.060
0.940 0.250 0.560
0.060 0.750 0.440
0.440 0.060 0.750
0.844 0.844 0.844
0.344 0.344 0.344
0.656 0.656 0.656
0.156 0.156 0.156
0.000 0.000 0.000
0.500 0.500 0.500
```

[2]
Material: Pr5Sn2Ge
Method: DFT, GGA-PBE
State: optimized geometry

## Properties
**Total magnetic moment**: 0.0 μB per formula unit
**E_tot**: -0.386 Ry per atom
**Formation energy from the elements**: -685 meV/atom
**SG**: Pbam (55)

Geometry as POSCAR:
```
Pr5Sn2Ge
1.0
-2.922 -3.209 -1.848
4.862 -6.193 3.066
-6.821 -0.008 10.803
Pr Sn Ge
10 4 2
Direct
0.500 0.802 0.931
0.000 0.500 0.000
0.000 0.147 0.789
0.500 0.698 0.431
0.000 0.853 0.211
0.000 0.000 0.500
0.000 0.353 0.289
0.000 0.647 0.711
0.500 0.198 0.069
0.500 0.302 0.569
0.500 0.579 0.172
0.500 0.079 0.328
0.500 0.921 0.672
0.500 0.421 0.828
0.000 0.500 0.500
0.000 0.000 0.000
```

[3]
Material: Pr4SnGe
Method: DFT, GGA-PBE
State: optimized geometry

## Properties
**Total magnetic moment**: 0.1 μB per formula unit
**E_tot**: -0.381 Ry per atom
**Formation energy from the elements**: -558 meV/atom
**SG**: P2_1/m (11)

Geometry as POSCAR:
```
Pr4SnGe
1.0
-3.866 -3.322 3.007
5.204 -2.844 3.550
2.116 8.818 3.963
Pr Sn Ge
8 2 2
Direct
0.611 0.250 0.444
0.661 0.250 0.871
0.073 0.517 0.756
0.927 0.483 0.244
0.927 0.017 0.244
0.073 0.983 0.756
0.389 0.750 0.556
0.339 0.750 0.129
0.310 0.250 0.082
0.690 0.750 0.918
0.210 0.250 0.550
0.790 0.750 0.450
```

[4]
Material: Pr12SnGe5
Method: DFT, GGA-PBE
State: optimized geometry

## Properties
**Total magnetic moment**: 0.0 μB per formula unit
**E_tot**: -0.388 Ry per atom
**Formation energy from the elements**: -581 meV/atom
**SG**: Immm (71)

Geometry as POSCAR:
```
Pr12SnGe5
1.0
-7.466 -1.000 -4.738
-0.920 -3.669 8.055
1.974 8.550 1.480
Pr Ge Sn
12 5 1
Direct
0.802 0.567 0.764
0.292 0.323 0.615
0.708 0.323 0.031
0.198 0.433 0.236
0.802 0.038 0.236
0.911 0.182 0.729
0.708 0.677 0.385
0.292 0.677 0.969
0.089 0.818 0.271
0.547 0.818 0.729
0.453 0.182 0.271
0.198 0.962 0.764
0.371 0.371 0.000
0.629 0.629 0.000
0.500 0.882 0.382
0.500 0.118 0.618
0.000 0.000 0.000
0.000 0.500 0.500
```

[5]
Material: PrSn2Ge
Method: DFT, GGA-PBE
State: optimized geometry

## Properties
**Total magnetic moment**: 0.0 μB per formula unit
**E_tot**: -0.353 Ry per atom
**Formation energy from the elements**: -457 meV/atom
**SG**: P4/mmm (123)

Geometry as POSCAR:
```
PrSn2Ge
1.0
-4.375 -2.008 -0.879
1.651 -1.928 -3.809
1.217 -3.702 2.401
Ge Sn Pr
1 2 1
Direct
0.500 0.000 0.000
0.000 0.500 0.000
0.000 0.000 0.500
0.500 0.500 0.500
```

[6]
Material: Pr5Sn2Ge
Method: DFT, GGA-PBE
State: optimized geometry

## Properties
**Total magnetic moment**: 0.0 μB per formula unit
**E_tot**: -0.370 Ry per atom
**Formation energy from the elements**: -468 meV/atom
**SG**: Fmm2 (42)

Geometry as POSCAR:
```
Pr5Sn2Ge
1.0
-3.689 -4.097 4.539
-0.453 -5.086 -4.992
5.998 2.749 1.751
Pr Ge Sn
5 1 2
Direct
0.723 0.723 0.945
0.222 0.722 0.944
0.722 0.722 0.444
0.222 0.222 0.944
0.722 0.222 0.944
0.223 0.222 0.444
0.721 0.222 0.444
0.222 0.722 0.444
```

[7]
Material: Pr4Sn3Ge
Method: DFT, GGA-PBE
State: optimized geometry

## Properties
**Total magnetic moment**: 0.0 μB per formula unit
**E_tot**: -0.386 Ry per atom
**Formation energy from the elements**: -784 meV/atom
**SG**: Pmm2 (25)

Geometry as POSCAR:
```
Pr4Sn3Ge
1.0
4.680 0.000 0.000
0.000 4.342 0.000
0.000 0.000 11.688
Pr Sn Ge
4 3 1
Direct
0.000 0.000 0.134
0.500 0.000 0.638
0.500 0.500 0.355
0.000 0.500 0.867
0.500 0.000 0.919
0.000 0.000 0.410
0.000 0.500 0.588
0.500 0.500 0.088
```

[8]
Material: Pr8Sn5Ge
Method: DFT, GGA-PBE
State: optimized geometry

## Properties
**Total magnetic moment**: 0.0 μB per formula unit
**E_tot**: -0.385 Ry per atom
**Formation energy from the elements**: -745 meV/atom
**SG**: I-4 (82)

Geometry as POSCAR:
```
Pr8Sn5Ge
1.0
7.875 0.000 -2.717
-3.925 6.791 -2.807
-0.025 0.000 8.331
Sn Pr Ge
5 8 1
Direct
0.996 0.372 0.123
0.877 0.873 0.249
0.376 0.127 0.004
0.500 0.000 0.500
0.751 0.628 0.624
0.263 0.258 0.386
0.768 0.252 0.378
0.614 0.877 0.872
0.126 0.748 0.517
0.483 0.609 0.232
0.128 0.742 0.006
0.994 0.123 0.737
0.622 0.391 0.874
0.250 0.500 0.750
```

- formation energy from the elements of number 4 (Pr12SnGe5)?
  -581 meV/atom